First-principles (meta-GGA SCAN) data for a crystal of HfBeOs3 relaxed with PBEsol, as listed in Alexandria via LeMat-Bulk.

Properties
DFT formation energy	-24.1	meV/atom
energy	-56.5574	eV/atom
SG	Pm-3m
ρ	17.81	Mg/m³

Cell lengths 4.135, 4.135, 4.135 Å; angles 90.00, 90.00, 90.00 degrees
Atoms (fractional coordinates):
Hf (0.000, 0.000, 0.000)
Be (0.500, 0.500, 0.500)
Os (0.000, 0.500, 0.500)
Os (0.500, 0.000, 0.500)
Os (0.500, 0.500, 0.000)

***

First-principles (meta-GGA SCAN) data for a crystal of SrTiBr2 relaxed with PBEsol, as listed in Alexandria via LeMat-Bulk.

Properties
raw formation energy	-0.785	eV/atom
energy	-20.0907	eV/atom
SG	I-42d
ρ	4.01	Mg/m³

Cell lengths 9.158, 9.158, 9.158 Å; angles 145.56, 145.56, 49.50 degrees
Atoms (fractional coordinates):
Sr (0.000, 0.000, 0.000)
Sr (0.750, 0.250, 0.500)
Ti (0.250, 0.750, 0.500)
Ti (0.500, 0.500, 0.000)
Br (0.181, 0.625, 0.056)
Br (0.375, 0.431, 0.556)
Br (0.569, 0.125, 0.944)
Br (0.875, 0.819, 0.444)

***

First-principles (meta-GGA SCAN) data for a crystal of YAl2Tc relaxed with PBEsol, as listed in Alexandria via LeMat-Bulk.

Properties
DFT formation energy	-423.0	meV/atom
energy	-20.0247	eV/atom
SG	P4/mmm
ρ	5.63	Mg/m³

Cell lengths 3.180, 3.180, 7.032 Å; angles 90.00, 90.00, 90.00 degrees
Atoms (fractional coordinates):
Y (0.000, 0.000, 0.000)
Al (0.500, 0.500, 0.312)
Al (0.500, 0.500, 0.688)
Tc (0.000, 0.000, 0.500)